Compound: Ce3Al3Ga8
Source: Alexandria via LeMat-Bulk
Functional: PBE
Structure: optimized geometry Values from VASP.

The structure in Quantum ESPRESSO input format:
```
&SYSTEM
  ibrav = 0, nat = 14, ntyp = 3
/
ATOMIC_SPECIES
Ce 140.12 Ce.upf
Ga 69.72 Ga.upf
Al 26.98 Al.upf
CELL_PARAMETERS angstrom
4.2664 0.0000 0.0000
2.1332 8.1661 -0.0942
2.1332 2.1327 7.8833
ATOMIC_POSITIONS crystal
Ce 0.8155 0.1845 0.1845
Ga 0.1626 0.2081 0.4667
Ga 0.3604 0.3625 0.9168
Ga 0.3604 0.9168 0.3625
Ce 0.5000 0.5000 0.5000
Al 0.0000 0.7888 0.2112
Ga 0.6396 0.6375 0.0832
Ga 0.8374 0.5333 0.7919
Al 0.0000 0.2112 0.7888
Ce 0.1845 0.8155 0.8155
Ga 0.1626 0.4667 0.2081
Ga 0.6396 0.0832 0.6375
Al 0.5000 0.0000 0.0000
Ga 0.8374 0.7919 0.5333
```

Properties
The calculation puts the density of states at the Fermi level at 1.30 states/eV per atom. The calculation puts the total energy at -4.2513 eV/atom. The value obtained for the total magnetization is 2.3 μB/cell. For the formation energy, the calculation gives -6.27 eV/f.u.



Compound: Ag2PS
Source: Alexandria via LeMat-Bulk
Functional: PBE
Structure: optimized geometry Values from VASP.

The structure in Quantum ESPRESSO input format:
```
&SYSTEM
  ibrav = 0, nat = 4, ntyp = 3
/
ATOMIC_SPECIES
Ag 107.87 Ag.upf
S 32.06 S.upf
P 30.97 P.upf
CELL_PARAMETERS angstrom
3.9966 1.7464 1.5258
0.1336 2.3153 3.9966
2.0801 -1.8636 3.6812
ATOMIC_POSITIONS crystal
Ag 0.7500 0.7500 0.7500
S 0.5000 0.5000 0.5000
P 0.0000 0.0000 0.0000
Ag 0.2500 0.2500 0.2500
```

Properties
The calculation puts the density of states at the Fermi level at 1.07 states/eV per atom. The calculation puts the total energy at -3.2960 eV/atom. The value obtained for the total magnetization is 0.0 μB/cell. As for the polymorph energy (0 for the lowest one): 0.59 eV/f.u.



Compound: Ba2TbHg
Source: Alexandria via LeMat-Bulk
Functional: PBE
Structure: optimized geometry Values from VASP.

The structure in Quantum ESPRESSO input format:
```
&SYSTEM
  ibrav = 0, nat = 4, ntyp = 3
/
ATOMIC_SPECIES
Tb 158.93 Tb.upf
Ba 137.33 Ba.upf
Hg 200.59 Hg.upf
CELL_PARAMETERS angstrom
-0.2976 2.7918 2.7436
-0.7083 -0.9847 3.7335
12.0357 -0.1822 4.2992
ATOMIC_POSITIONS crystal
Tb 0.0000 0.0000 0.0000
Ba 0.0965 0.0965 0.7104
Hg 0.5000 0.5000 0.5000
Ba 0.9035 0.9035 0.2896
```

Properties
The calculation puts the density of states at the Fermi level at 1.41 states/eV per atom. The calculation puts the total energy at -2.0242 eV/atom. The value obtained for the total magnetization is 0.0 μB/cell. For the formation energy, the calculation gives 0.68 eV/f.u.



Compound: Tb4AgRh2Au
Source: Alexandria via LeMat-Bulk
Functional: PBE
Structure: optimized geometry Values from VASP.

The structure in Quantum ESPRESSO input format:
```
&SYSTEM
  ibrav = 0, nat = 8, ntyp = 4
/
ATOMIC_SPECIES
Tb 158.93 Tb.upf
Ag 107.87 Ag.upf
Au 196.97 Au.upf
Rh 102.91 Rh.upf
CELL_PARAMETERS angstrom
-2.2013 0.8591 -4.4035
1.3351 -2.6511 -4.0204
-6.0075 -6.1654 -1.0354
ATOMIC_POSITIONS crystal
Tb 0.6242 0.6242 0.1273
Tb 0.3758 0.3758 0.8727
Ag 0.0000 0.0000 0.0000
Au 0.5000 0.5000 0.5000
Tb 0.8744 0.8744 0.3768
Tb 0.1256 0.1256 0.6232
Rh 0.2523 0.2523 0.2432
Rh 0.7477 0.7477 0.7568
```

Properties
The calculation puts the density of states at the Fermi level at 0.69 states/eV per atom. The calculation puts the total energy at -5.6125 eV/atom. The value obtained for the total magnetization is 0.0 μB/cell. For the formation energy, the calculation gives -5.55 eV/f.u.



Compound: RbBSCl2
Source: Alexandria via LeMat-Bulk
Functional: PBE
Structure: optimized geometry Values from VASP.

The structure in Quantum ESPRESSO input format:
```
&SYSTEM
  ibrav = 0, nat = 5, ntyp = 4
/
ATOMIC_SPECIES
Rb 85.47 Rb.upf
Cl 35.45 Cl.upf
S 32.06 S.upf
B 10.81 B.upf
CELL_PARAMETERS angstrom
-1.9954 -2.8643 5.0526
5.4964 -2.6578 0.6639
1.8582 4.6903 3.3927
ATOMIC_POSITIONS crystal
Rb 0.0000 0.0000 0.0000
Cl 0.5000 0.0000 0.0000
Cl 0.0000 0.5000 0.0000
S 0.0000 0.0000 0.5000
B 0.5000 0.5000 0.5000
```

Properties
The calculation puts the density of states at the Fermi level at 1.42 states/eV per atom. The calculation puts the total energy at -1.9877 eV/atom. The value obtained for the total magnetization is 2.1 μB/cell. As for the polymorph energy (0 for the lowest one): 7.21 eV/f.u.



Compound: U2TcPC
Source: Alexandria via LeMat-Bulk
Functional: PBE
Structure: optimized geometry Values from VASP.

The structure in Quantum ESPRESSO input format:
```
&SYSTEM
  ibrav = 0, nat = 10, ntyp = 4
/
ATOMIC_SPECIES
U 238.03 U.upf
P 30.97 P.upf
Tc 98.00 Tc.upf
C 12.01 C.upf
CELL_PARAMETERS angstrom
-1.1402 0.3872 -3.2437
3.2868 -5.0637 -1.7598
-7.1417 -3.3275 2.1132
ATOMIC_POSITIONS crystal
U 0.2500 0.2111 0.9274
P 0.2500 0.7490 0.3568
Tc 0.2500 0.5095 0.7771
P 0.7500 0.2510 0.6432
Tc 0.7500 0.4905 0.2229
U 0.7500 0.7882 0.6314
C 0.7500 0.1541 0.1266
U 0.7500 0.7889 0.0726
C 0.2500 0.8459 0.8734
U 0.2500 0.2118 0.3686
```

Properties
The calculation puts the density of states at the Fermi level at 1.39 states/eV per atom. The calculation puts the total energy at -9.8856 eV/atom. The value obtained for the total magnetization is 4.9 μB/cell. For the formation energy, the calculation gives -1.85 eV/f.u.



Compound: CaCeCuN2
Source: Alexandria via LeMat-Bulk
Functional: PBE
Structure: optimized geometry Values from VASP.

The structure in Quantum ESPRESSO input format:
```
&SYSTEM
  ibrav = 0, nat = 10, ntyp = 4
/
ATOMIC_SPECIES
N 14.01 N.upf
Cu 63.55 Cu.upf
Ce 140.12 Ce.upf
Ca 40.08 Ca.upf
CELL_PARAMETERS angstrom
5.0165 0.0000 0.0000
0.0000 5.3701 0.7059
0.0000 -0.8683 6.5641
ATOMIC_POSITIONS crystal
N 0.7663 0.2665 0.5003
N 0.7663 0.7335 0.9997
N 0.2337 0.2665 0.0003
N 0.2337 0.7335 0.4997
Cu 0.0000 0.0000 0.5000
Ce 0.9989 0.5000 0.2500
Ce 0.0011 0.5000 0.7500
Ca 0.4997 0.0000 0.2500
Ca 0.5003 0.0000 0.7500
Cu 0.0000 0.0000 0.0000
```

Properties
The calculation puts the density of states at the Fermi level at 0.82 states/eV per atom. The calculation puts the total energy at -6.3999 eV/atom. The value obtained for the total magnetization is 1.9 μB/cell.



Compound: AcCrGe2
Source: Alexandria via LeMat-Bulk
Functional: PBE
Structure: optimized geometry Values from VASP.

The structure in Quantum ESPRESSO input format:
```
&SYSTEM
  ibrav = 0, nat = 4, ntyp = 3
/
ATOMIC_SPECIES
Ge 72.64 Ge.upf
Cr 52.00 Cr.upf
Ac 227.00 Ac.upf
CELL_PARAMETERS angstrom
3.5500 0.0000 0.0000
0.0000 3.5500 0.0000
0.0000 0.0000 6.8774
ATOMIC_POSITIONS crystal
Ge 0.0000 0.0000 0.8154
Ge 0.0000 0.0000 0.1846
Cr 0.5000 0.5000 0.0000
Ac 0.5000 0.5000 0.5000
```

Properties
The calculation puts the density of states at the Fermi level at 0.60 states/eV per atom. The calculation puts the total energy at -5.8318 eV/atom. The value obtained for the total magnetization is 3.3 μB/cell. As for the polymorph energy (0 for the lowest one): 0.91 eV/f.u. For the formation energy, the calculation gives -0.36 eV/f.u.



Compound: AcHfScIr2
Source: Alexandria via LeMat-Bulk
Functional: PBE
Structure: optimized geometry Values from VASP.

The structure in Quantum ESPRESSO input format:
```
&SYSTEM
  ibrav = 0, nat = 5, ntyp = 4
/
ATOMIC_SPECIES
Sc 44.96 Sc.upf
Ir 192.22 Ir.upf
Hf 178.49 Hf.upf
Ac 227.00 Ac.upf
CELL_PARAMETERS angstrom
4.4358 0.0000 0.0000
0.0000 4.4358 0.0000
-2.2179 -2.2179 5.8769
ATOMIC_POSITIONS crystal
Sc 0.7500 0.2500 0.5000
Ir 0.6179 0.6179 0.2357
Hf 0.2500 0.7500 0.5000
Ir 0.3821 0.3821 0.7643
Ac 0.0000 0.0000 0.0000
```

Properties
The calculation puts the density of states at the Fermi level at 0.64 states/eV per atom. The calculation puts the total energy at -8.4513 eV/atom. The value obtained for the total magnetization is 0.0 μB/cell. For the formation energy, the calculation gives -4.14 eV/f.u.



Compound: Sm5Mg4Ru4
Source: Alexandria via LeMat-Bulk
Functional: PBE
Structure: optimized geometry Values from VASP.

The structure in Quantum ESPRESSO input format:
```
&SYSTEM
  ibrav = 0, nat = 13, ntyp = 3
/
ATOMIC_SPECIES
Sm 150.36 Sm.upf
Mg 24.30 Mg.upf
Ru 101.07 Ru.upf
CELL_PARAMETERS angstrom
-2.0334 -2.0712 3.1865
-5.3021 -5.3177 -3.9248
4.8006 -6.8069 1.5541
ATOMIC_POSITIONS crystal
Sm 0.2946 0.0758 0.3350
Sm 0.3704 0.3350 0.9242
Mg 0.8920 0.5246 0.6915
Mg 0.1080 0.4754 0.3085
Ru 0.0628 0.1814 0.6931
Sm 0.6296 0.6650 0.0758
Mg 0.5834 0.3085 0.5246
Sm 0.7054 0.9242 0.6650
Ru 0.9372 0.8186 0.3069
Ru 0.7559 0.3069 0.1814
Ru 0.2441 0.6931 0.8186
Mg 0.4166 0.6915 0.4754
Sm 0.0000 0.0000 0.0000
```

Properties
The calculation puts the density of states at the Fermi level at 0.53 states/eV per atom. The calculation puts the total energy at -5.3516 eV/atom. The value obtained for the total magnetization is 0.0 μB/cell. For the formation energy, the calculation gives -2.49 eV/f.u.



Compound: HfCoNi
Source: Alexandria via LeMat-Bulk
Functional: PBE
Structure: optimized geometry Values from VASP.

The structure in Quantum ESPRESSO input format:
```
&SYSTEM
  ibrav = 0, nat = 6, ntyp = 3
/
ATOMIC_SPECIES
Hf 178.49 Hf.upf
Co 58.93 Co.upf
Ni 58.69 Ni.upf
CELL_PARAMETERS angstrom
-3.6574 2.8221 -1.5134
-1.0375 -3.1531 3.9767
-0.5370 2.1230 4.3400
ATOMIC_POSITIONS crystal
Hf 0.2836 0.5014 0.7164
Co 0.7836 0.0000 0.2164
Co 0.2816 0.0000 0.7184
Hf 0.7822 0.4986 0.2178
Ni 0.7819 0.0000 0.7178
Ni 0.2822 0.0000 0.2181
```

Properties
The calculation puts the density of states at the Fermi level at 1.25 states/eV per atom. The calculation puts the total energy at -7.5692 eV/atom. The value obtained for the total magnetization is 0.7 μB/cell. For the formation energy, the calculation gives 0.13 eV/f.u.



Compound: LaMgInBi
Source: Alexandria via LeMat-Bulk
Functional: PBE
Structure: optimized geometry Values from VASP.

The structure in Quantum ESPRESSO input format:
```
&SYSTEM
  ibrav = 0, nat = 4, ntyp = 4
/
ATOMIC_SPECIES
La 138.91 La.upf
Mg 24.30 Mg.upf
In 114.82 In.upf
Bi 208.98 Bi.upf
CELL_PARAMETERS angstrom
5.4725 0.0000 0.0000
2.7362 4.7393 0.0000
2.7362 1.5798 4.4683
ATOMIC_POSITIONS crystal
La 0.0000 0.0000 0.0000
Mg 0.5000 0.5000 0.5000
In 0.7500 0.7500 0.7500
Bi 0.2500 0.2500 0.2500
```

Properties
The calculation puts the density of states at the Fermi level at 0.89 states/eV per atom. The calculation puts the total energy at -3.6324 eV/atom. The value obtained for the total magnetization is 0.0 μB/cell. For the formation energy, the calculation gives -1.39 eV/f.u.